Mg2ZrCu | PBE | relaxed

Results
The value obtained for the formation energy is 17 meV per atom.

```
Mg2ZrCu
1.0
-2.3665 2.3665 3.3234
2.3665 -2.3665 3.3234
2.3665 2.3665 -3.3234
Mg Zr Cu
2 1 1
direct
0.0000 0.0000 0.0000
0.7500 0.2500 0.5000
0.5000 0.5000 0.0000
0.2500 0.7500 0.5000
```